Compound: MgSi3Tc
Source: Alexandria
Functional: PBE-GGA
Structure: optimized geometry Values from VASP.

Quantum ESPRESSO input file:
```
&SYSTEM
  ibrav = 0, nat = 5, ntyp = 3
/
ATOMIC_SPECIES
Mg 24.30 Mg.upf
Si 28.09 Si.upf
Tc 98.00 Tc.upf
ATOMIC_POSITIONS crystal
Mg 0.0000 0.0000 0.0000
Si 0.0000 0.5000 0.5000
Si 0.5000 0.0000 0.5000
Si 0.5000 0.5000 0.0000
Tc 0.5000 0.5000 0.5000
CELL_PARAMETERS angstrom
4.7001 0.0000 0.0000
0.0000 4.7001 0.0000
0.0000 0.0000 4.7001
```

Calculated values
**ΔE to the lowest computed polymorph**: 0.000 eV/atom
**Uncorrected formation energy**: 0.385 eV per atom
**Spin magnetization**: 0.000 μB per cell
**N(E_F)**: 4.097 states/eV/f.u.
**Uncorrected energy**: -26.3 eV/cell
**Space-group type**: Pm-3m, No. 221